Record 1
! Li2MnBe, optimized geometry, DFT PBE-GGA; values from VASP
&SYSTEM
  ibrav = 0, nat = 4, ntyp = 3
/
ATOMIC_SPECIES
Li 6.94 Li.upf
Be 9.01 Be.upf
Mn 54.94 Mn.upf
CELL_PARAMETERS angstrom
8.9995 -0.0248 -0.0145
8.6551 2.4657 -0.0145
8.6551 1.1967 2.1559
ATOMIC_POSITIONS crystal
Li 0.2444 0.2444 0.2444
Li 0.0075 0.0075 0.0075
Be 0.7555 0.7555 0.7555
Mn 0.4926 0.4926 0.4926
! - Spin magnetization: 1.73 Bohr magnetons per cell
! - Energy relative to the elements: 0.25 eV per atom
! - Space-group type: R3m (160)

Record 2
! LaYN2F, optimized geometry, DFT PBE-GGA; values from VASP
&SYSTEM
  ibrav = 0, nat = 5, ntyp = 4
/
ATOMIC_SPECIES
Y 88.91 Y.upf
N 14.01 N.upf
F 19.00 F.upf
La 138.91 La.upf
CELL_PARAMETERS angstrom
4.6164 0.0000 0.0000
0.0000 4.6164 0.0000
0.0000 0.0000 4.3941
ATOMIC_POSITIONS crystal
Y 0.5000 0.5000 0.5000
N 0.0000 0.5000 0.0000
N 0.5000 0.0000 0.0000
F 0.0000 0.0000 0.5000
La 0.0000 0.0000 0.0000
! - Spin magnetization: 0.35 Bohr magnetons per cell
! - Formation energy (no corrections): -0.88 eV/atom
! - Space-group type: P4/mmm (123)
! - Energy relative to the lowest polymorph listed for this composition: 576.5 meV/atom

no.,E (eV per atom),V (A^3/atom)
1,-3.928,12.15
2,-6.859,18.73